! ZnNi3N PBE optimized geometry; values from VASP
&SYSTEM
  ibrav = 0, nat = 5, ntyp = 3
/
ATOMIC_SPECIES
Zn 65.41 Zn.upf
Ni 58.69 Ni.upf
N 14.01 N.upf
ATOMIC_POSITIONS angstrom
Zn 0.0000 0.0000 0.0000
Ni 0.0000 1.8800 1.8800
Ni 1.8800 0.0000 1.8800
Ni 1.8800 1.8800 0.0000
N 1.8800 1.8800 1.8800
CELL_PARAMETERS angstrom
3.7600 0.0000 0.0000
0.0000 3.7600 0.0000
0.0000 0.0000 3.7600
! Raw formation energy: -0.1461 eV/atom
! D(E_F): 3.1 states/eV per cell
! Crystal system: cubic
! Symmetry: No. 221

***

! ZnNi3N PBE optimized geometry; values from VASP
&SYSTEM
  ibrav = 0, nat = 5, ntyp = 3
/
ATOMIC_SPECIES
Zn 65.41 Zn.upf
Ni 58.69 Ni.upf
N 14.01 N.upf
ATOMIC_POSITIONS angstrom
Zn 0.0000 0.0000 0.0000
Ni 1.8572 0.0000 1.8352
Ni 0.0000 0.0000 3.7315
Ni 0.0000 1.8572 1.8352
N 0.0000 0.0000 5.5714
CELL_PARAMETERS angstrom
-1.8572 1.8572 3.8805
1.8572 -1.8572 3.8805
1.8572 1.8572 -3.8805
! Raw formation energy: -0.0401 eV/atom
! D(E_F): 7.8 states/eV per cell
! Crystal system: tetragonal
! Symmetry: No. 107

***

! ZnNi3N PBE optimized geometry; values from VASP
&SYSTEM
  ibrav = 0, nat = 10, ntyp = 3
/
ATOMIC_SPECIES
Zn 65.41 Zn.upf
Ni 58.69 Ni.upf
N 14.01 N.upf
ATOMIC_POSITIONS angstrom
Zn 0.8817 1.3422 1.7396
Zn 3.0721 4.0267 3.0783
Ni 0.9387 4.0267 1.7010
Ni 0.8748 2.7241 3.9793
Ni 0.8748 5.3293 3.9793
Ni 3.0791 0.0396 0.8385
Ni 3.0791 2.6448 0.8385
Ni 3.0151 1.3422 3.1169
N 1.9538 4.0267 0.2096
N 2.0001 1.3422 4.6082
CELL_PARAMETERS angstrom
4.1913 0.0000 0.0000
0.0000 5.3689 0.0000
-0.2375 0.0000 4.8179
! Raw formation energy: 0.0340 eV/atom
! D(E_F): 4.5 states/eV per cell
! Crystal system: monoclinic
! Symmetry: No. 11

***

! ZnNi2N PBE optimized geometry; values from VASP
&SYSTEM
  ibrav = 0, nat = 8, ntyp = 3
/
ATOMIC_SPECIES
Zn 65.41 Zn.upf
Ni 58.69 Ni.upf
N 14.01 N.upf
ATOMIC_POSITIONS angstrom
Zn 0.0000 0.0000 0.0000
Zn 0.0000 3.0052 1.2928
Ni 1.5026 -0.8024 1.9392
Ni 2.2029 1.5026 0.6464
Ni 1.5026 3.8076 -0.6464
Ni 0.8024 1.5026 3.2321
N 3.0052 0.0000 1.2928
N 0.0000 0.0000 2.5857
CELL_PARAMETERS angstrom
-3.0052 3.0052 2.5857
3.0052 -3.0052 2.5857
3.0052 3.0052 -2.5857
! Relative energy among the computed polymorphs: 0.0 kJ per mole of atoms
! Raw formation energy: 0.2225 eV/atom
! D(E_F): 5.0 states/eV per cell
! Crystal system: tetragonal
! Symmetry: No. 122

***

! ZnNi5N4 PBE optimized geometry; values from VASP
&SYSTEM
  ibrav = 0, nat = 20, ntyp = 3
/
ATOMIC_SPECIES
Zn 65.41 Zn.upf
Ni 58.69 Ni.upf
N 14.01 N.upf
ATOMIC_POSITIONS angstrom
Zn 1.3823 2.2612 1.0027
Zn 4.1470 6.7837 3.3543
Ni 0.0880 0.9018 3.6049
Ni 0.0880 3.6207 3.6049
Ni 1.3823 6.7837 3.2718
Ni 2.6767 0.9018 3.6049
Ni 2.6767 3.6207 3.6049
Ni 2.8527 5.4242 0.7522
Ni 2.8527 8.1432 0.7522
Ni 4.1470 2.2612 1.0853
Ni 5.4413 5.4242 0.7522
Ni 5.4413 8.1432 0.7522
N 0.0272 6.7837 1.9712
N 1.3823 4.9697 3.9571
N 1.3823 8.5977 3.9571
N 2.7375 6.7837 1.9712
N 2.7918 2.2612 2.3858
N 4.1470 0.4472 0.3999
N 4.1470 4.0753 0.3999
N 5.5022 2.2612 2.3858
CELL_PARAMETERS angstrom
5.5293 0.0000 0.0000
0.0000 9.0450 0.0000
0.0000 0.0000 4.3571
! Raw formation energy: 0.3000 eV/atom
! D(E_F): 11.4 states/eV per cell
! Crystal system: orthorhombic
! Symmetry: No. 59

***

! ZnNi3N PBE optimized geometry; values from VASP
&SYSTEM
  ibrav = 0, nat = 10, ntyp = 3
/
ATOMIC_SPECIES
Zn 65.41 Zn.upf
Ni 58.69 Ni.upf
N 14.01 N.upf
ATOMIC_POSITIONS angstrom
Zn 0.0000 0.0000 1.7249
Zn 0.0000 0.0000 8.7204
Ni 2.4249 0.0000 1.2546
Ni 2.4249 1.1500 -1.1965
Ni 2.4249 0.0000 3.9681
Ni 1.1500 2.4249 1.1965
Ni 1.2750 0.0000 6.4191
Ni 0.0000 1.2750 4.0262
N 0.0000 0.0000 5.2227
N 0.0000 2.4249 2.6113
CELL_PARAMETERS angstrom
-2.4249 2.4249 5.2227
2.4249 -2.4249 5.2227
2.4249 2.4249 -5.2227
! Raw formation energy: 0.2744 eV/atom
! D(E_F): 4.5 states/eV per cell
! Crystal system: tetragonal
! Symmetry: No. 119

***

! ZnNiN PBE optimized geometry; values from VASP
&SYSTEM
  ibrav = 0, nat = 6, ntyp = 3
/
ATOMIC_SPECIES
Zn 65.41 Zn.upf
Ni 58.69 Ni.upf
N 14.01 N.upf
ATOMIC_POSITIONS angstrom
Zn 0.9120 1.9169 1.4792
Zn 5.5876 3.8567 3.5259
Ni 2.6870 3.0980 0.0022
Ni 3.8126 2.6756 5.0029
N 0.9182 1.9198 3.5466
N 5.5814 3.8538 1.4584
CELL_PARAMETERS angstrom
3.7810 0.0000 0.0000
1.8115 3.8604 0.0000
0.9071 1.9133 5.0051
! Raw formation energy: 0.3861 eV/atom
! D(E_F): 2.7 states/eV per cell
! Crystal system: triclinic
! Symmetry: No. 2

***

! ZnNiN3 PBE optimized geometry; values from VASP
&SYSTEM
  ibrav = 0, nat = 5, ntyp = 3
/
ATOMIC_SPECIES
Zn 65.41 Zn.upf
Ni 58.69 Ni.upf
N 14.01 N.upf
ATOMIC_POSITIONS angstrom
Zn 0.0000 0.0000 0.0000
Ni 1.8859 1.8859 1.8859
N 0.0000 0.0000 1.8859
N 0.0000 1.8859 0.0000
N 1.8859 0.0000 0.0000
CELL_PARAMETERS angstrom
3.7719 0.0000 0.0000
0.0000 3.7719 0.0000
0.0000 0.0000 3.7719
! Raw formation energy: 2.3185 eV/atom
! D(E_F): 5.5 states/eV per cell
! Crystal system: cubic
! Symmetry: No. 221